A plane-wave DFT calculation with PBEsol was carried out for Cr2CoBiMo after structural relaxation.

The structure in POSCAR format:
```
Cr2CoBiMo
1.0
4.308 0.000 0.000
0.000 4.308 0.000
0.000 0.000 4.752
Cr Co Bi Mo
2 1 1 1
direct
0.000 0.500 0.000
0.500 0.000 0.000
0.000 0.000 0.000
0.000 0.000 0.500
0.500 0.500 0.500
```

Computed properties:
Fermi-level density of states in states/eV/f.u.: 6.43
V in Å³ per cell: 88.2
Energy of formation from the pure elements in eV per atom: 1.398
Calculated total energy in eV per formula unit: -37.28
SG: P4/mmm (123)
Mass density in g/cm³: 8.81